[1]
Pa3CoS6, relaxed, DFT GGA-PBE; offset from the most stable computed form = 0 meV per atom; ΔE_f (raw) = -138.5 kJ/mol of atoms; total magnetic moment = 1.05 μB/f.u.
1.0
-4.097 -1.351 4.414
6.018 -3.758 4.436
0.626 7.799 2.967
Pa S Co
6 12 2
direct
0.877 0.614 0.386
0.972 0.731 0.936
0.972 0.064 0.269
0.377 0.386 0.614
0.472 0.269 0.064
0.472 0.936 0.731
0.174 0.031 0.969
0.187 0.093 0.562
0.687 0.562 0.093
0.674 0.969 0.031
0.677 0.305 0.369
0.687 0.907 0.438
0.677 0.631 0.695
0.191 0.773 0.227
0.177 0.695 0.631
0.691 0.227 0.773
0.187 0.438 0.907
0.177 0.369 0.305
0.070 0.192 0.808
0.570 0.808 0.192

=====

[2]
LaPr10Dy4, relaxed, DFT GGA-PBE; ΔH_f (0 K) = 0.491 eV/atom; total magnetic moment = 0.00 μB/f.u.
1.0
6.361 0.000 2.872
3.181 9.093 1.436
-0.561 0.000 9.723
Pr Dy La
10 4 1
direct
0.957 0.160 0.416
0.043 0.840 0.584
0.250 0.500 0.500
0.750 0.500 0.500
0.467 0.160 0.416
0.627 0.416 0.840
0.533 0.840 0.584
0.883 0.584 0.160
0.117 0.416 0.840
0.373 0.584 0.160
0.567 0.109 0.756
0.677 0.756 0.891
0.433 0.891 0.244
0.323 0.244 0.109
0.000 0.000 0.000